VASP calculation (PBE) on a relaxed structure of Ba4Tl2In.

Geometry as CIF:
```
data_Ba4Tl2In
_symmetry_space_group_name_H-M 'I 4/m m m'
_symmetry_Int_Tables_number 139
_symmetry_space_group_name_Hall '-I 4 2'
_cell_length_a 6.6711
_cell_length_b 6.6711
_cell_length_c 17.1011
_cell_angle_alpha 90.00
_cell_angle_beta 90.00
_cell_angle_gamma 90.00
loop_
_atom_site_label
_atom_site_type_symbol
_atom_site_fract_x
_atom_site_fract_y
_atom_site_fract_z
_atom_site_occupancy
Ba1 Ba 0.0000 0.0000 0.2002 1
Ba2 Ba 0.0000 0.5000 0.0000 1
Tl1 Tl 0.0000 0.0000 0.4032 1
In1 In 0.0000 0.0000 0.0000 1
```

Calculated values
**Energy relative to the lowest polymorph listed for this composition**: 0.267 eV per atom
**E_form**: -0.069 eV per atom
**E**: -31.3 eV for the cell shown
**Size of the total moment**: 0.19 μB/atom

---

VASP calculation (PBE) on a relaxed structure of Ba2TlIn.

Geometry as CIF:
```
data_Ba2TlIn
_symmetry_space_group_name_H-M 'P 1 21/m 1'
_symmetry_Int_Tables_number 11
_cell_length_a 4.3550
_cell_length_b 5.5451
_cell_length_c 13.4079
_cell_angle_alpha 90.00
_cell_angle_beta 99.37
_cell_angle_gamma 90.00
loop_
_symmetry_equiv_pos_as_xyz
'x,y,z'
'-x,-y,-z'
'-x,y+1/2,-z'
'x,-y+1/2,z'
loop_
_atom_site_label
_atom_site_type_symbol
_atom_site_fract_x
_atom_site_fract_y
_atom_site_fract_z
_atom_site_occupancy
Ba1 Ba 0.0486 0.2500 0.0994 1
Ba2 Ba 0.1946 0.7500 0.3898 1
Tl1 Tl 0.4188 0.2500 0.8363 1
In1 In 0.3414 0.7500 0.6816 1
```

Calculated values
**E_form**: -0.386 eV per atom
**E**: -21.0 eV for the cell shown
**Size of the total moment**: 0.00 μB/atom